Compound: Sc3Si3Rh
Source: the Alexandria database
Functional: PBE
Structure: optimized geometry

The space group is Pnma (No. 62) and the conventional cell measures 11.6989, 4.0206 and 10.2371 Å, with angles of 90.00, 90.00 and 90.00 degrees. Symmetry generates all atoms from Sc at (0.0200, 0.2500, 0.1234), Sc at (0.1013, 0.2500, 0.4206), Sc at (0.2006, 0.7500, 0.6579), Si at (0.0447, 0.2500, 0.6931), Si at (0.1575, 0.7500, 0.2500), Si at (0.1771, 0.7500, 0.0153) and Rh at (0.1779, 0.2500, 0.8890).

For the energy above the most stable polymorph in this dataset, the calculation gives 0.000 eV/atom. The energy is -0.259 Ha/atom. The value obtained for the spin magnetization is 0.00 Bohr magnetons per cell. The calculation puts the density at 4.442 g/cm3. Its crystal system is orthorhombic.

---

Compound: Sc2Si3Rh5
Source: the Alexandria database
Functional: PBE
Structure: optimized geometry

The space group is Cmc2_1 (No. 36) and the conventional cell measures 3.9542, 23.7190 and 6.3938 Å, with angles of 90.00, 90.00 and 90.00 degrees. Symmetry generates all atoms from Sc at (0.0000, 0.0191, 0.0000), Sc at (0.0000, 0.3261, 0.0166), Si at (0.0000, 0.1096, 0.7517), Si at (0.0000, 0.2711, 0.5273), Si at (0.0000, 0.4550, 0.7864), Rh at (0.0000, 0.0976, 0.3586), Rh at (0.0000, 0.2071, 0.8163), Rh at (0.0000, 0.2076, 0.2400), Rh at (0.0000, 0.3720, 0.5271) and Rh at (0.0000, 0.4452, 0.1611).

The energy is -0.278 Ha/atom. The value obtained for the spin magnetization is 0.00 Bohr magnetons per cell. The calculation puts the density at 7.628 g/cm3. Its crystal system is orthorhombic.

---

Compound: ScSiRh
Source: the Alexandria database
Functional: PBE
Structure: optimized geometry

The space group is F-43m (No. 216) and the conventional cell measures 6.1190, 6.1190 and 6.1190 Å, with angles of 90.00, 90.00 and 90.00 degrees. Symmetry generates all atoms from Sc at (0.0000, 0.0000, 0.0000), Si at (0.2500, 0.2500, 0.2500) and Rh at (0.2500, 0.2500, 0.7500).

The energy is -0.237 Ha/atom. The value obtained for the spin magnetization is 0.00 Bohr magnetons per cell. The calculation puts the density at 5.101 g/cm3. Its crystal system is cubic.

---

Compound: Sm2ScSi2Rh5
Source: the Alexandria database
Functional: PBE
Structure: optimized geometry

The space group is P4/mbm (No. 127) and the conventional cell measures 9.9849, 9.9849 and 3.5013 Å, with angles of 90.00, 90.00 and 90.00 degrees. Symmetry generates all atoms from Sm at (0.1749, 0.3251, 0.0000), Sc at (0.0000, 0.0000, 0.0000), Si at (0.1229, 0.6229, 0.0000), Rh at (0.0000, 0.5000, 0.5000) and Rh at (0.0686, 0.7818, 0.5000).

The energy is -0.268 Ha/atom. The value obtained for the spin magnetization is 0.00 Bohr magnetons per cell. The calculation puts the density at 8.718 g/cm3. Its crystal system is tetragonal.

---

Compound: ScSiTcRh
Source: the Alexandria database
Functional: PBE
Structure: optimized geometry

The space group is F-43m (No. 216) and the conventional cell measures 6.1620, 6.1620 and 6.1620 Å, with angles of 90.00, 90.00 and 90.00 degrees. Symmetry generates all atoms from Sc at (0.0000, 0.0000, 0.0000), Si at (0.0000, 0.0000, 0.5000), Tc at (0.2500, 0.2500, 0.7500) and Rh at (0.2500, 0.2500, 0.2500).

The energy is -0.295 Ha/atom. The value obtained for the spin magnetization is 0.00 Bohr magnetons per cell. The calculation puts the density at 7.777 g/cm3. Its crystal system is cubic.

---

Compound: Th2ScSi3Rh4
Source: the Alexandria database
Functional: PBE
Structure: optimized geometry

The space group is P-4m2 (No. 115) and the conventional cell measures 4.1180, 4.1180 and 10.7470 Å, with angles of 90.00, 90.00 and 90.00 degrees. Symmetry generates all atoms from Th at (0.0000, 0.5000, 0.2367), Sc at (0.0000, 0.0000, 0.5000), Si at (0.0000, 0.5000, 0.8777), Si at (0.5000, 0.5000, 0.5000), Rh at (0.0000, 0.0000, 0.0000), Rh at (0.0000, 0.5000, 0.6515) and Rh at (0.5000, 0.5000, 0.0000).

The energy is -0.284 Ha/atom. The value obtained for the spin magnetization is 0.00 Bohr magnetons per cell. The calculation puts the density at 9.156 g/cm3. Its crystal system is tetragonal.

---

Compound: Sc2TiSi2Rh5
Source: the Alexandria database
Functional: PBE
Structure: optimized geometry

The space group is P4/mbm (No. 127) and the conventional cell measures 9.4028, 9.4028 and 3.4894 Å, with angles of 90.00, 90.00 and 90.00 degrees. Symmetry generates all atoms from Sc at (0.1723, 0.3277, 0.0000), Ti at (0.0000, 0.0000, 0.0000), Si at (0.1260, 0.6260, 0.0000), Rh at (0.0000, 0.5000, 0.5000) and Rh at (0.0703, 0.7926, 0.5000).

The energy is -0.286 Ha/atom. The value obtained for the spin magnetization is 0.00 Bohr magnetons per cell. The calculation puts the density at 7.627 g/cm3. Its crystal system is tetragonal.

---

Compound: Tm2ScSi2Rh5
Source: the Alexandria database
Functional: PBE
Structure: optimized geometry

The space group is P4/mbm (No. 127) and the conventional cell measures 9.8005, 9.8005 and 3.4716 Å, with angles of 90.00, 90.00 and 90.00 degrees. Symmetry generates all atoms from Tm at (0.1736, 0.3264, 0.0000), Sc at (0.0000, 0.0000, 0.0000), Si at (0.1247, 0.6247, 0.0000), Rh at (0.0000, 0.5000, 0.5000) and Rh at (0.0695, 0.7843, 0.5000).

The energy is -0.269 Ha/atom. The value obtained for the spin magnetization is 0.00 Bohr magnetons per cell. The calculation puts the density at 9.497 g/cm3. Its crystal system is tetragonal.

---

Compound: ScV2SiRh
Source: the Alexandria database
Functional: PBE
Structure: optimized geometry

The space group is P4/mmm (No. 123) and the conventional cell measures 4.5895, 4.5895 and 4.9066 Å, with angles of 90.00, 90.00 and 90.00 degrees. Symmetry generates all atoms from Sc at (0.0000, 0.0000, 0.0000), V at (0.0000, 0.5000, 0.5000), Si at (0.5000, 0.5000, 0.0000) and Rh at (0.0000, 0.0000, 0.5000).

The energy is -0.250 Ha/atom. The value obtained for the spin magnetization is 3.29 Bohr magnetons per cell. The calculation puts the density at 4.464 g/cm3. Its crystal system is tetragonal.

---

Compound: ScVSi2Rh
Source: the Alexandria database
Functional: PBE
Structure: optimized geometry

The space group is P4/mmm (No. 123) and the conventional cell measures 4.8410, 4.8410 and 4.4838 Å, with angles of 90.00, 90.00 and 90.00 degrees. Symmetry generates all atoms from Sc at (0.0000, 0.0000, 0.0000), V at (0.5000, 0.5000, 0.5000), Si at (0.0000, 0.5000, 0.0000) and Rh at (0.0000, 0.0000, 0.5000).

The energy is -0.201 Ha/atom. The value obtained for the spin magnetization is 0.01 Bohr magnetons per cell. The calculation puts the density at 4.029 g/cm3. Its crystal system is tetragonal.

---

Compound: Y2ScSi2Rh5
Source: the Alexandria database
Functional: PBE
Structure: optimized geometry

The space group is P4/mbm (No. 127) and the conventional cell measures 9.8862, 9.8862 and 3.4817 Å, with angles of 90.00, 90.00 and 90.00 degrees. Symmetry generates all atoms from Y at (0.1742, 0.3258, 0.0000), Sc at (0.0000, 0.0000, 0.0000), Si at (0.1240, 0.6240, 0.0000), Rh at (0.0000, 0.5000, 0.5000) and Rh at (0.0690, 0.7834, 0.5000).

The energy is -0.283 Ha/atom. The value obtained for the spin magnetization is 0.00 Bohr magnetons per cell. The calculation puts the density at 7.744 g/cm3. Its crystal system is tetragonal.

---

Compound: Sc2ZnSi2Rh5
Source: the Alexandria database
Functional: PBE
Structure: optimized geometry

The space group is P4/mbm (No. 127) and the conventional cell measures 9.4801, 9.4801 and 3.3869 Å, with angles of 90.00, 90.00 and 90.00 degrees. Symmetry generates all atoms from Sc at (0.1721, 0.3279, 0.0000), Zn at (0.0000, 0.0000, 0.0000), Si at (0.1286, 0.6286, 0.0000), Rh at (0.0000, 0.5000, 0.5000) and Rh at (0.0700, 0.7927, 0.5000).

The energy is -0.260 Ha/atom. The value obtained for the spin magnetization is 0.00 Bohr magnetons per cell. The calculation puts the density at 7.921 g/cm3. Its crystal system is tetragonal.